Computed, not measured: CaLaYHo after structural relaxation at the PBE-GGA level of DFT.

- DFT total energy: -4.3664 eV per atom
- Spin magnetization: 0.00 μB/atom
- ΔH_f (0 K): 126 meV/atom

Unit cell a=5.841 b=5.841 c=5.841 alpha=60.00 beta=60.00 gamma=60.00
Positions (direct):
Ca (0.000, 0.000, 0.000)
La (0.250, 0.250, 0.250)
Y (0.750, 0.750, 0.750)
Ho (0.500, 0.500, 0.500)